(1)
Here is V3GaH after structural relaxation from Alexandria via LeMat-Bulk. Energies are from GGA-PBE.

Computed properties:
SG: P6_3/mmc
DFT total energy in eV per atom: -6.70

abc: 4.275 4.275 7.420
angles: 90.00 90.00 120.00
Atoms (fractional coordinates):
1 H 0.000 0.000 0.000
2 H 0.000 0.000 0.500
3 Ga 0.333 0.667 0.750
4 Ga 0.667 0.333 0.250
5 V 0.000 0.000 0.250
6 V 0.000 0.000 0.750
7 V 0.333 0.667 0.087
8 V 0.333 0.667 0.413
9 V 0.667 0.333 0.587
10 V 0.667 0.333 0.913

(2)
Here is V3GaH after structural relaxation from Alexandria via LeMat-Bulk. Energies are from GGA-PBE.

Computed properties:
SG: C2/m
DFT total energy in eV per atom: -6.73

abc: 16.836 7.039 7.039
angles: 147.08 157.26 22.74
Atoms (fractional coordinates):
1 H 0.731 0.809 0.191
2 H 0.269 0.191 0.809
3 Ga 0.791 0.036 0.964
4 Ga 0.209 0.964 0.036
5 V 0.752 0.273 0.727
6 V 0.248 0.727 0.273
7 V 0.031 0.361 0.639
8 V 0.969 0.639 0.361
9 V 0.651 0.582 0.418
10 V 0.349 0.418 0.582

(3)
Here is V3GaH after structural relaxation from Alexandria via LeMat-Bulk. Energies are from GGA-PBE.

Computed properties:
SG: I-4m2
DFT total energy in eV per atom: -5.89

abc: 4.258 4.258 10.063
angles: 77.78 77.78 90.00
Atoms (fractional coordinates):
1 H 0.642 0.142 0.716
2 H 0.858 0.358 0.284
3 Ga 0.000 0.000 0.000
4 Ga 0.250 0.750 0.500
5 V 0.137 0.872 0.256
6 V 0.128 0.863 0.744
7 V 0.128 0.392 0.744
8 V 0.608 0.872 0.256
9 V 0.324 0.324 0.351
10 V 0.676 0.676 0.649

(4)
Here is V5Ga2H2 after structural relaxation from Alexandria via LeMat-Bulk. Energies are from GGA-PBE.

Computed properties:
SG: C2/m
ΔE to the lowest computed polymorph in meV per atom: 19
DFT total energy in eV per atom: -6.67

abc: 3.243 4.842 6.942
angles: 85.36 90.00 109.57
Atoms (fractional coordinates):
1 V 0.295 0.590 0.140
2 V 0.705 0.410 0.860
3 V 0.152 0.304 0.560
4 V 0.848 0.696 0.440
5 V 0.000 0.000 0.000
6 Ga 0.424 0.847 0.722
7 Ga 0.576 0.153 0.278
8 H 0.144 0.288 0.816
9 H 0.856 0.712 0.184

(5)
Here is V6GaH2 after structural relaxation from Alexandria via LeMat-Bulk. Energies are from GGA-PBE.

Computed properties:
SG: C2/m
DFT total energy in eV per atom: -7.03

abc: 3.101 5.960 6.371
angles: 77.35 75.91 74.92
Atoms (fractional coordinates):
1 V 0.682 0.764 0.871
2 V 0.318 0.236 0.129
3 V 0.994 0.843 0.170
4 V 0.323 0.840 0.514
5 V 0.006 0.157 0.830
6 V 0.677 0.160 0.486
7 Ga 0.000 0.500 0.500
8 H 0.193 0.607 0.007
9 H 0.807 0.393 0.993

(6)
Here is V2GaH after structural relaxation from Alexandria via LeMat-Bulk. Energies are from GGA-PBE.

Computed properties:
SG: R3m
ΔE to the lowest computed polymorph in meV per atom: 127
DFT total energy in eV per atom: -6.25

abc: 2.962 2.962 6.304
angles: 76.44 76.44 60.02
Atoms (fractional coordinates):
1 V 0.050 0.050 0.851
2 V 0.283 0.283 0.150
3 Ga 0.500 0.500 0.499
4 H 0.667 0.667 0.999

(7)
Here is V3GaH after structural relaxation from Alexandria via LeMat-Bulk. Energies are from GGA-PBE.

Computed properties:
SG: C2/m
DFT total energy in eV per atom: -6.76

abc: 14.601 6.912 6.912
angles: 158.68 150.51 29.49
Atoms (fractional coordinates):
1 H 0.930 0.852 0.148
2 H 0.070 0.148 0.852
3 Ga 0.556 0.041 0.959
4 Ga 0.444 0.959 0.041
5 V 0.200 0.826 0.174
6 V 0.800 0.174 0.826
7 V 0.062 0.291 0.709
8 V 0.938 0.709 0.291
9 V 0.323 0.890 0.110
10 V 0.677 0.110 0.890

(8)
Here is VGa3H after structural relaxation from Alexandria via LeMat-Bulk. Energies are from GGA-PBE.

Computed properties:
SG: Pm-3m
ΔE to the lowest computed polymorph in meV per atom: 649
DFT total energy in eV per atom: -3.44

abc: 4.966 4.966 4.966
angles: 90.00 90.00 90.00
Atoms (fractional coordinates):
1 H 0.500 0.500 0.500
2 Ga 0.000 0.500 0.000
3 Ga 0.000 0.000 0.500
4 Ga 0.500 0.000 0.000
5 V 0.000 0.000 0.000

(9)
Here is V7Ga2H2 after structural relaxation from Alexandria via LeMat-Bulk. Energies are from GGA-PBE.

Computed properties:
SG: C2/m
DFT total energy in eV per atom: -7.00

abc: 5.238 5.102 5.102
angles: 101.95 95.97 95.97
Atoms (fractional coordinates):
1 V 0.661 0.836 0.475
2 V 0.339 0.525 0.164
3 V 0.339 0.164 0.525
4 V 0.661 0.475 0.836
5 V 0.500 0.000 0.000
6 V 0.155 0.654 0.654
7 V 0.845 0.346 0.346
8 Ga 0.000 0.162 0.838
9 Ga 0.000 0.838 0.162
10 H 0.496 0.271 0.271
11 H 0.504 0.729 0.729

(10)
Here is V3GaH after structural relaxation from Alexandria via LeMat-Bulk. Energies are from GGA-PBE.

Computed properties:
SG: P2_1/c
DFT total energy in eV per atom: -6.84

abc: 16.695 4.997 6.890
angles: 90.00 156.15 90.00
Atoms (fractional coordinates):
1 H 0.082 0.249 0.477
2 H 0.918 0.751 0.523
3 H 0.418 0.749 0.023
4 H 0.582 0.251 0.977
5 Ga 0.410 0.750 0.411
6 Ga 0.590 0.250 0.589
7 Ga 0.090 0.250 0.089
8 Ga 0.910 0.750 0.911
9 V 0.250 0.000 0.750
10 V 0.750 0.000 0.250
11 V 0.250 0.500 0.750
12 V 0.750 0.500 0.250
13 V 0.336 0.250 0.326
14 V 0.664 0.750 0.674
15 V 0.164 0.750 0.174
16 V 0.836 0.250 0.826
17 V 0.530 0.750 0.034
18 V 0.470 0.250 0.966
19 V 0.970 0.250 0.466
20 V 0.030 0.750 0.534

(11)
Here is V3GaH after structural relaxation from Alexandria via LeMat-Bulk. Energies are from GGA-PBE.

Computed properties:
SG: R-3c
DFT total energy in eV per atom: -6.90

abc: 4.847 4.847 4.847
angles: 89.80 89.80 89.80
Atoms (fractional coordinates):
1 H 0.250 0.250 0.250
2 H 0.750 0.750 0.750
3 Ga 0.000 0.000 0.000
4 Ga 0.500 0.500 0.500
5 V 0.995 0.505 0.250
6 V 0.505 0.250 0.995
7 V 0.250 0.995 0.505
8 V 0.750 0.005 0.495
9 V 0.495 0.750 0.005
10 V 0.005 0.495 0.750

(12)
Here is V3GaH after structural relaxation from Alexandria via LeMat-Bulk. Energies are from GGA-PBE.

Computed properties:
SG: P1
DFT total energy in eV per atom: -6.94

abc: 4.905 4.420 5.337
angles: 90.65 83.41 89.97
Atoms (fractional coordinates):
1 H 0.139 0.756 0.363
2 H 0.204 0.339 0.491
3 Ga 0.726 0.096 0.459
4 Ga 0.438 0.591 0.897
5 V 0.948 0.594 0.639
6 V 0.241 0.098 0.213
7 V 0.930 0.594 0.120
8 V 0.192 0.085 0.749
9 V 0.722 0.093 0.969
10 V 0.468 0.597 0.382

(13)
Here is V3GaH after structural relaxation from Alexandria via LeMat-Bulk. Energies are from GGA-PBE.

Computed properties:
SG: C2/c
DFT total energy in eV per atom: -6.85

abc: 9.825 6.949 6.949
angles: 82.24 124.89 55.11
Atoms (fractional coordinates):
1 H 0.750 0.190 0.690
2 H 0.250 0.810 0.310
3 H 0.750 0.444 0.944
4 H 0.250 0.556 0.056
5 Ga 0.017 0.552 0.324
6 Ga 0.483 0.824 0.052
7 Ga 0.983 0.448 0.676
8 Ga 0.517 0.176 0.948
9 V 0.369 0.428 0.433
10 V 0.131 0.933 0.928
11 V 0.631 0.572 0.567
12 V 0.869 0.067 0.072
13 V 0.107 0.221 0.172
14 V 0.393 0.672 0.721
15 V 0.893 0.779 0.828
16 V 0.607 0.328 0.279
17 V 0.540 0.887 0.729
18 V 0.960 0.229 0.387
19 V 0.460 0.113 0.271
20 V 0.040 0.771 0.613

(14)
Here is V3GaH after structural relaxation from Alexandria via LeMat-Bulk. Energies are from GGA-PBE.

Computed properties:
SG: P-1
DFT total energy in eV per atom: -6.94

abc: 4.921 4.419 5.330
angles: 89.81 83.23 89.93
Atoms (fractional coordinates):
1 H 0.213 0.282 0.426
2 H 0.989 0.287 0.830
3 Ga 0.746 0.044 0.405
4 Ga 0.456 0.525 0.851
5 V 0.977 0.552 0.571
6 V 0.255 0.015 0.172
7 V 0.947 0.554 0.085
8 V 0.224 0.017 0.685
9 V 0.726 0.021 0.921
10 V 0.476 0.547 0.335

(15)
Here is V3GaH after structural relaxation from Alexandria via LeMat-Bulk. Energies are from GGA-PBE.

Computed properties:
SG: P2_1/c
DFT total energy in eV per atom: -6.75

abc: 20.494 4.800 7.929
angles: 90.00 162.31 90.00
Atoms (fractional coordinates):
1 H 0.534 0.767 0.679
2 H 0.466 0.233 0.321
3 H 0.966 0.267 0.821
4 H 0.034 0.733 0.179
5 Ga 0.050 0.146 0.506
6 Ga 0.950 0.854 0.494
7 Ga 0.450 0.646 0.994
8 Ga 0.550 0.354 0.006
9 V 0.330 0.893 0.006
10 V 0.670 0.107 0.994
11 V 0.170 0.393 0.494
12 V 0.830 0.607 0.506
13 V 0.361 0.467 0.271
14 V 0.639 0.533 0.729
15 V 0.139 0.967 0.229
16 V 0.861 0.033 0.771
17 V 0.378 0.884 0.510
18 V 0.622 0.116 0.490
19 V 0.122 0.384 0.990
20 V 0.878 0.616 0.010

(16)
Here is V3GaH after structural relaxation from Alexandria via LeMat-Bulk. Energies are from GGA-PBE.

Computed properties:
SG: Pm
DFT total energy in eV per atom: -6.95

abc: 4.928 4.408 5.330
angles: 90.00 83.49 90.00
Atoms (fractional coordinates):
1 H 0.192 0.829 0.470
2 H 0.192 0.340 0.469
3 Ga 0.724 0.084 0.446
4 Ga 0.431 0.584 0.892
5 V 0.937 0.584 0.624
6 V 0.235 0.084 0.203
7 V 0.927 0.584 0.110
8 V 0.183 0.084 0.740
9 V 0.717 0.084 0.957
10 V 0.471 0.584 0.371

(17)
Here is V5Ga2H after structural relaxation from Alexandria via LeMat-Bulk. Energies are from GGA-PBE.

Computed properties:
SG: I4mm
DFT total energy in eV per atom: -6.89

abc: 5.367 5.367 5.290
angles: 120.46 120.46 90.03
Atoms (fractional coordinates):
1 V 0.746 0.259 0.005
2 V 0.259 0.259 0.005
3 V 0.746 0.746 0.005
4 V 0.259 0.746 0.005
5 V 0.752 0.752 0.505
6 Ga 0.252 0.752 0.504
7 Ga 0.752 0.252 0.504
8 H 0.011 0.011 0.021

(18)
Here is V7GaH2 after structural relaxation from Alexandria via LeMat-Bulk. Energies are from GGA-PBE.

Computed properties:
SG: Cmmm
DFT total energy in eV per atom: -7.29

abc: 2.888 6.649 6.649
angles: 113.62 90.00 90.00
Atoms (fractional coordinates):
1 V 0.000 0.750 0.250
2 V 0.000 0.250 0.750
3 V 0.500 0.104 0.359
4 V 0.500 0.896 0.641
5 V 0.500 0.359 0.104
6 V 0.500 0.641 0.896
7 V 0.500 0.500 0.500
8 Ga 0.000 0.000 0.000
9 H 0.500 0.657 0.343
10 H 0.500 0.343 0.657

(19)
Here is V5Ga4H after structural relaxation from Alexandria via LeMat-Bulk. Energies are from GGA-PBE.

Computed properties:
SG: I4/mmm
DFT total energy in eV per atom: -6.27

abc: 3.554 6.304 6.304
angles: 85.46 73.68 73.68
Atoms (fractional coordinates):
1 V 0.829 0.344 0.000
2 V 0.173 0.000 0.656
3 V 0.829 0.000 0.344
4 V 0.173 0.656 0.000
5 V 0.501 0.000 0.000
6 Ga 0.501 0.317 0.683
7 Ga 0.817 0.683 0.683
8 Ga 0.185 0.317 0.317
9 Ga 0.501 0.683 0.317
10 H 0.001 0.000 0.000

(20)
Here is V3GaH after structural relaxation from Alexandria via LeMat-Bulk. Energies are from GGA-PBE.

Computed properties:
SG: C2
DFT total energy in eV per atom: -6.95

abc: 5.723 4.420 5.334
angles: 93.01 122.42 90.00
Atoms (fractional coordinates):
1 H 0.201 0.834 0.729
2 H 0.093 0.334 0.729
3 Ga 0.742 0.075 0.031
4 Ga 0.440 0.594 0.427
5 V 0.938 0.597 0.436
6 V 0.236 0.101 0.512
7 V 0.944 0.574 0.944
8 V 0.231 0.072 0.022
9 V 0.729 0.095 0.514
10 V 0.454 0.568 0.946